[1]
In2AsPb after structural relaxation, computed with PBE.

Relative energy among the computed polymorphs: 0.586 eV/f.u.

Cell lengths 7.5451, 7.5451, 7.5451 Å; angles 90.00, 90.00, 90.00 degrees
Closest atoms and distances in Å follow each position.
Fractional positions:
In1 0.0000 0.0000 0.0000  4 As 3.27, 4 In 3.27
In2 0.0000 0.5000 0.5000  4 As 3.27, 4 In 3.27
In3 0.2500 0.2500 0.2500  4 In 3.27, 4 Pb 3.27
In4 0.2500 0.7500 0.7500  4 In 3.27, 4 Pb 3.27
In5 0.5000 0.0000 0.5000  4 As 3.27, 4 In 3.27
In6 0.5000 0.5000 0.0000  4 In 3.27, 4 As 3.27
In7 0.7500 0.2500 0.7500  4 In 3.27, 4 Pb 3.27
In8 0.7500 0.7500 0.2500  4 In 3.27, 4 Pb 3.27
As1 0.2500 0.2500 0.7500  4 In 3.27, 4 Pb 3.27
As2 0.2500 0.7500 0.2500  4 In 3.27, 4 Pb 3.27
As3 0.7500 0.2500 0.2500  4 In 3.27, 4 Pb 3.27
As4 0.7500 0.7500 0.7500  4 Pb 3.27, 4 In 3.27
Pb1 0.0000 0.0000 0.5000  4 As 3.27, 4 In 3.27
Pb2 0.0000 0.5000 0.0000  4 As 3.27, 4 In 3.27
Pb3 0.5000 0.0000 0.0000  4 As 3.27, 4 In 3.27
Pb4 0.5000 0.5000 0.5000  4 As 3.27, 4 In 3.27

=====

[2]
In2AsPb after structural relaxation, computed with PBE.

Relative energy among the computed polymorphs: 0.214 eV/f.u.

Cell lengths 3.8147, 5.2530, 10.6752 Å; angles 90.00, 90.00, 90.00 degrees
Closest atoms and distances in Å follow each position.
Fractional positions:
In1 0.0000 0.0000 0.2113  2 As 2.95
In2 0.0000 0.0000 0.7887  2 As 2.95
In3 0.5000 0.5000 0.2887  2 As 2.95
In4 0.5000 0.5000 0.7113  2 As 2.95
As1 0.0000 0.5000 0.5000  4 In 2.95, 4 Pb 3.25
As2 0.5000 0.0000 0.0000  4 In 2.95, 4 Pb 3.25
Pb1 0.0000 0.5000 0.0000  4 As 3.25, 8 In 3.46-3.62
Pb2 0.5000 0.0000 0.5000  4 As 3.25, 8 In 3.46-3.62

=====

[3]
In2As2Pb after structural relaxation, computed with PBE.

Relative energy among the computed polymorphs: 0.294 eV/f.u.

Cell lengths 3.8888, 3.8888, 17.5617 Å; angles 90.00, 90.00, 90.00 degrees
Closest atoms and distances in Å follow each position.
Fractional positions:
In1 0.0000 0.0000 0.1135  4 As 3.09, 4 Pb 3.40
In2 0.0000 0.0000 0.8865  4 As 3.09, 4 Pb 3.40
In3 0.5000 0.5000 0.3865  4 As 3.09, 4 Pb 3.40
In4 0.5000 0.5000 0.6135  4 As 3.09, 4 Pb 3.40
As1 0.0000 0.5000 0.2500  4 As 2.75
As2 0.0000 0.5000 0.7500  4 As 2.75
As3 0.5000 0.0000 0.2500  4 As 2.75
As4 0.5000 0.0000 0.7500  4 As 2.75
Pb1 0.0000 0.0000 0.5000  8 In 3.40
Pb2 0.5000 0.5000 0.0000  8 In 3.40

=====

[4]
In2AsPb after structural relaxation, computed with PBE.

Relative energy among the computed polymorphs: 0.108 eV/f.u.

Cell lengths 11.2843, 3.9097, 5.6427 Å; angles 90.00, 115.88, 90.00 degrees
Closest atoms and distances in Å follow each position.
Fractional positions:
In1 0.0000 0.0000 0.0000  2 As 2.84, 1 In 3.13
In2 0.2116 0.0000 0.7805  2 As 2.95, 1 In 3.13
In3 0.5000 0.5000 0.0000  2 As 2.84, 1 In 3.13
In4 0.7116 0.5000 0.7805  2 As 2.95, 1 In 3.13
As1 0.0384 0.5000 0.3911  4 In 2.84-2.95, 2 Pb 3.08
As2 0.5384 0.0000 0.3911  4 In 2.84-2.95, 2 Pb 3.08
Pb1 0.3240 0.5000 0.3719  3 As 3.08-3.27, 1 In 3.22
Pb2 0.8240 0.0000 0.3719  3 As 3.08-3.27, 1 In 3.22

=====

[5]
In2AsPb after structural relaxation, computed with PBE.

Relative energy among the computed polymorphs: 0.000 eV/f.u.

Cell lengths 4.0405, 4.0405, 23.6428 Å; angles 90.00, 90.00, 120.00 degrees
Closest atoms and distances in Å follow each position.
Fractional positions:
In1 0.0000 0.0000 0.2344  3 As 2.83
In2 0.0000 0.0000 0.7656  3 As 2.83
In3 0.3333 0.6667 0.4323  3 As 2.83
In4 0.3333 0.6667 0.9011  3 As 2.83
In5 0.6667 0.3333 0.0989  3 As 2.83
In6 0.6667 0.3333 0.5677  3 As 2.83
As1 0.0000 0.0000 0.5000  6 In 2.83
As2 0.3333 0.6667 0.1667  6 In 2.83
As3 0.6667 0.3333 0.8333  6 In 2.83
Pb1 0.0000 0.0000 0.0000  6 In 3.30
Pb2 0.3333 0.6667 0.6667  6 In 3.30
Pb3 0.6667 0.3333 0.3333  6 In 3.30

=====

[6]
In3AsPb after structural relaxation, computed with PBE.

Relative energy among the computed polymorphs: 2.189 eV/f.u.

Cell lengths 5.6927, 5.6927, 5.6927 Å; angles 90.00, 90.00, 90.00 degrees
Closest atoms and distances in Å follow each position.
Fractional positions:
In1 0.0000 0.0000 0.5000  2 Pb 2.85
In2 0.0000 0.5000 0.0000  2 Pb 2.85
In3 0.5000 0.0000 0.0000  2 Pb 2.85
As1 0.5000 0.5000 0.5000  12 In 4.03
Pb1 0.0000 0.0000 0.0000  6 In 2.85

=====

[7]
InAsPb2 after structural relaxation, computed with PBE.

Relative energy among the computed polymorphs: 0.094 eV/f.u.

Cell lengths 3.9548, 3.9548, 7.0602 Å; angles 90.00, 90.00, 90.00 degrees
Closest atoms and distances in Å follow each position.
Fractional positions:
In1 0.0000 0.0000 0.0000  5 Pb 3.08-3.28, 4 As 3.16
As1 0.5000 0.5000 0.7917  4 In 3.16, 5 Pb 3.18-3.23
Pb1 0.0000 0.0000 0.5637  1 In 3.08, 4 As 3.23
Pb2 0.5000 0.5000 0.2420  1 As 3.18, 4 In 3.28

=====

[8]
In2As2Pb after structural relaxation, computed with PBE.

Relative energy among the computed polymorphs: 0.224 eV/f.u.

Cell lengths 4.4152, 4.4152, 13.6906 Å; angles 90.00, 90.00, 90.00 degrees
Closest atoms and distances in Å follow each position.
Fractional positions:
In1 0.0000 0.5000 0.2500  4 As 3.07, 4 In 3.12
In2 0.0000 0.5000 0.7500  4 As 3.07, 4 In 3.12
In3 0.5000 0.0000 0.2500  4 As 3.07, 4 In 3.12
In4 0.5000 0.0000 0.7500  4 As 3.07, 4 In 3.12
As1 0.0000 0.0000 0.0946  1 As 2.59
As2 0.0000 0.0000 0.9054  1 As 2.59
As3 0.5000 0.5000 0.4054  1 As 2.59
As4 0.5000 0.5000 0.5946  1 As 2.59
Pb1 0.0000 0.0000 0.5000  8 As 3.38
Pb2 0.5000 0.5000 0.0000  8 As 3.38

=====

[9]
InAs2Pb2 after structural relaxation, computed with PBE.

Relative energy among the computed polymorphs: 0.487 eV/f.u.

Cell lengths 8.5395, 8.5395, 3.7642 Å; angles 90.00, 90.00, 90.00 degrees
Closest atoms and distances in Å follow each position.
Fractional positions:
In1 0.0000 0.0000 0.0000  4 Pb 3.29
In2 0.5000 0.5000 0.0000  4 Pb 3.29
As1 0.1485 0.3515 0.5000  6 Pb 3.11-3.16
As2 0.3515 0.8515 0.5000  6 Pb 3.11-3.16
As3 0.6485 0.1485 0.5000  6 Pb 3.11-3.16
As4 0.8515 0.6485 0.5000  6 Pb 3.11-3.16
Pb1 0.1414 0.6414 0.0000  6 As 3.11-3.16, 2 In 3.29, 1 Pb 3.42
Pb2 0.3586 0.1414 0.0000  6 As 3.11-3.16, 2 In 3.29, 1 Pb 3.42
Pb3 0.6414 0.8586 0.0000  6 As 3.11-3.16, 2 In 3.29, 1 Pb 3.42
Pb4 0.8586 0.3586 0.0000  6 As 3.11-3.16, 2 In 3.29, 1 Pb 3.42

=====

[10]
In3AsPb after structural relaxation, computed with PBE.

Relative energy among the computed polymorphs: 0.000 eV/f.u.

Cell lengths 5.4029, 5.4029, 5.4029 Å; angles 90.00, 90.00, 90.00 degrees
Closest atoms and distances in Å follow each position.
Fractional positions:
In1 0.0000 0.0000 0.5000  2 As 2.70
In2 0.0000 0.5000 0.0000  2 As 2.70
In3 0.5000 0.0000 0.0000  2 As 2.70
As1 0.0000 0.0000 0.0000  6 In 2.70
Pb1 0.5000 0.5000 0.5000  12 In 3.82

=====

[11]
In3As5Pb12 after structural relaxation, computed with PBE.

Cell lengths 15.2603, 15.2603, 15.2603 Å; angles 109.47, 109.47, 109.47 degrees
Closest atoms and distances in Å follow each position.
Fractional positions:
In1 0.1250 0.2500 0.3750  8 Pb 3.19-3.34
In2 0.1250 0.3750 0.7500  8 Pb 3.19-3.34
In3 0.2500 0.3750 0.1250  8 Pb 3.19-3.34
In4 0.2500 0.8750 0.6250  8 Pb 3.19-3.34
In5 0.3750 0.1250 0.2500  8 Pb 3.19-3.34
In6 0.3750 0.7500 0.1250  8 Pb 3.19-3.34
In7 0.6250 0.2500 0.8750  8 Pb 3.19-3.34
In8 0.6250 0.8750 0.7500  8 Pb 3.19-3.34
In9 0.7500 0.1250 0.3750  8 Pb 3.19-3.34
In10 0.7500 0.6250 0.8750  8 Pb 3.19-3.34
In11 0.8750 0.6250 0.2500  8 Pb 3.19-3.34
In12 0.8750 0.7500 0.6250  8 Pb 3.19-3.34
As1 0.0000 0.0000 0.0000  6 Pb 2.99
As2 0.0000 0.0000 0.5000  6 Pb 2.99
As3 0.0000 0.5000 0.0000  6 Pb 2.99
As4 0.0000 0.5000 0.5000  6 Pb 2.99
As5 0.1250 0.7500 0.8750  4 Pb 2.82
As6 0.1250 0.8750 0.2500  4 Pb 2.82
As7 0.2500 0.1250 0.8750  4 Pb 2.82
As8 0.2500 0.6250 0.3750  4 Pb 2.82
As9 0.3750 0.2500 0.6250  4 Pb 2.82
As10 0.3750 0.6250 0.7500  4 Pb 2.82
As11 0.5000 0.0000 0.0000  6 Pb 2.99
As12 0.5000 0.0000 0.5000  6 Pb 2.99
As13 0.5000 0.5000 0.0000  6 Pb 2.99
As14 0.5000 0.5000 0.5000  6 Pb 2.99
As15 0.6250 0.3750 0.2500  4 Pb 2.82
As16 0.6250 0.7500 0.3750  4 Pb 2.82
As17 0.7500 0.3750 0.6250  4 Pb 2.82
As18 0.7500 0.8750 0.1250  4 Pb 2.82
As19 0.8750 0.1250 0.7500  4 Pb 2.82
As20 0.8750 0.2500 0.1250  4 Pb 2.82
Pb1 0.0515 0.2246 0.1320  2 As 2.82-2.99
Pb2 0.0515 0.3269 0.9196  2 As 2.82-2.99
Pb3 0.0804 0.6320 0.4074  2 As 2.82-2.99
Pb4 0.0804 0.9485 0.6731  2 As 2.82-2.99
Pb5 0.0926 0.7246 0.6731  2 As 2.82-2.99
Pb6 0.0926 0.8680 0.4196  2 As 2.82-2.99
Pb7 0.1320 0.0515 0.2246  2 As 2.82-2.99
Pb8 0.1320 0.5804 0.9074  2 As 2.82-2.99
Pb9 0.1731 0.2246 0.5926  2 As 2.82-2.99
Pb10 0.1731 0.4485 0.5804  2 As 2.82-2.99
Pb11 0.2246 0.1320 0.0515  2 As 2.82-2.99
Pb12 0.2246 0.5926 0.1731  2 As 2.82-2.99
Pb13 0.2754 0.3269 0.9074  2 As 2.82-2.99
Pb14 0.2754 0.4485 0.3680  2 As 2.82-2.99
Pb15 0.3269 0.9074 0.2754  2 As 2.82-2.99
Pb16 0.3269 0.9196 0.0515  2 As 2.82-2.99
Pb17 0.3680 0.2754 0.4485  2 As 2.82-2.99
Pb18 0.3680 0.5926 0.9196  2 As 2.82-2.99
Pb19 0.4074 0.0804 0.6320  2 As 2.82-2.99
Pb20 0.4074 0.8269 0.7754  2 As 2.82-2.99
Pb21 0.4196 0.0926 0.8680  2 As 2.82-2.99
Pb22 0.4196 0.8269 0.5515  2 As 2.82-2.99
Pb23 0.4485 0.3680 0.2754  2 As 2.82-2.99
Pb24 0.4485 0.5804 0.1731  2 As 2.82-2.99
Pb25 0.5515 0.4196 0.8269  2 As 2.82-2.99
Pb26 0.5515 0.6320 0.7246  2 As 2.82-2.99
Pb27 0.5804 0.1731 0.4485  2 As 2.82-2.99
Pb28 0.5804 0.9074 0.1320  2 As 2.82-2.99
Pb29 0.5926 0.1731 0.2246  2 As 2.82-2.99
Pb30 0.5926 0.9196 0.3680  2 As 2.82-2.99
Pb31 0.6320 0.4074 0.0804  2 As 2.82-2.99
Pb32 0.6320 0.7246 0.5515  2 As 2.82-2.99
Pb33 0.6731 0.0804 0.9485  2 As 2.82-2.99
Pb34 0.6731 0.0926 0.7246  2 As 2.82-2.99
Pb35 0.7246 0.5515 0.6320  2 As 2.82-2.99
Pb36 0.7246 0.6731 0.0926  2 As 2.82-2.99
Pb37 0.7754 0.4074 0.8269  2 As 2.82-2.99
Pb38 0.7754 0.8680 0.9485  2 As 2.82-2.99
Pb39 0.8269 0.5515 0.4196  2 As 2.82-2.99
Pb40 0.8269 0.7754 0.4074  2 As 2.82-2.99
Pb41 0.8680 0.4196 0.0926  2 As 2.82-2.99
Pb42 0.8680 0.9485 0.7754  2 As 2.82-2.99
Pb43 0.9074 0.1320 0.5804  2 As 2.82-2.99
Pb44 0.9074 0.2754 0.3269  2 As 2.82-2.99
Pb45 0.9196 0.0515 0.3269  2 As 2.82-2.99
Pb46 0.9196 0.3680 0.5926  2 As 2.82-2.99
Pb47 0.9485 0.6731 0.0804  2 As 2.82-2.99
Pb48 0.9485 0.7754 0.8680  2 As 2.82-2.99

=====

[12]
In2AsPb after structural relaxation, computed with PBE.

Relative energy among the computed polymorphs: 0.480 eV/f.u.

Cell lengths 3.2507, 5.1455, 6.4764 Å; angles 90.00, 104.15, 90.00 degrees
Closest atoms and distances in Å follow each position.
Fractional positions:
In1 0.1534 0.0000 0.2701  2 As 3.07, 5 In 3.25-3.39
In2 0.8466 0.0000 0.7299  2 As 3.07, 5 In 3.25-3.39
As1 0.0000 0.5000 0.5000  4 In 3.07, 2 Pb 3.25, 2 As 3.25
Pb1 0.5000 0.5000 0.0000  2 As 3.25, 2 Pb 3.25, 8 In 3.45-3.52

=====

Computed values of total magnetic moment (unit: μB/f.u.) for the preceding records, in sequence: 0.00 0.00 0.00 0.00 0.00 0.00 0.00 0.00 0.00 0.00 0.00 0.00.
Computed values of total DFT energy (no corrections) (unit: eV/cell) for the preceding records, in sequence: -53.2 -27.3 -35.9 -27.6 -41.7 -12.9 -14.5 -36.1 -37.1 -15.1 -293.4 -13.4.